(1)
The following is a DFT calculation (PBE) of an optimized crystal structure of PuTiNi2.

Volume: 65 Å³ per cell

Lattice parameters (Å, degrees): 4.5128 4.5128 4.5172 60.03 60.03 60.00
With the nearest neighbours (Å) after each atom.
Atoms (fractional coordinates):
Ni  0.2497  0.2497  0.2508  4 Ti 2.76-2.77, 4 Pu 2.76
Ni  0.7503  0.7503  0.7492  4 Ti 2.76-2.77, 4 Pu 2.76
Pu  0.0000  0.0000  0.0000  8 Ni 2.76
Ti  0.5000  0.5000  0.5000  8 Ni 2.76-2.77

(2)
The following is a DFT calculation (PBE) of an optimized crystal structure of PuTiNi2.

Volume: 64 Å³ per cell

Lattice parameters (Å, degrees): 3.0271 3.0271 6.9770 90.00 90.00 90.00
With the nearest neighbours (Å) after each atom.
Atoms (fractional coordinates):
Ni  0.0000  0.0000  0.8062  4 Ti 2.53, 1 Ni 2.70
Ni  0.0000  0.0000  0.1938  4 Ti 2.53, 1 Ni 2.70
Ti  0.5000  0.5000  0.0000  8 Ni 2.53
Pu  0.5000  0.5000  0.5000  8 Ni 3.02, 4 Pu 3.03

Result of the stability comparison: (2) is the most stable of them.

(1)
The following is a DFT calculation (PBE) of an optimized crystal structure of PuTi2Ni.

Volume: 65 Å³ per cell

Lattice parameters (Å, degrees): 3.0215 4.6292 4.6292 90.00 90.00 90.00
With the nearest neighbours (Å) after each atom.
Atoms (fractional coordinates):
Ni  0.5000  0.0000  0.0000  8 Ti 2.76, 2 Ni 3.02
Pu  0.5000  0.5000  0.5000  8 Ti 2.76, 2 Pu 3.02
Ti  0.0000  0.5000  0.0000  4 Pu 2.76, 4 Ni 2.76, 2 Ti 3.02
Ti  0.0000  0.0000  0.5000  4 Ni 2.76, 4 Pu 2.76, 2 Ti 3.02

(2)
The following is a DFT calculation (PBE) of an optimized crystal structure of PuTi2Ni.

Volume: 67 Å³ per cell

Lattice parameters (Å, degrees): 4.5602 4.5602 4.5609 60.00 60.00 60.00
With the nearest neighbours (Å) after each atom.
Atoms (fractional coordinates):
Ti  0.2499  0.2499  0.2502  4 Pu 2.79, 4 Ti 2.79
Ti  0.0000  0.0000  0.0000  4 Ni 2.79, 4 Ti 2.79
Pu  0.5000  0.5000  0.5000  4 Ti 2.79, 4 Ni 2.79
Ni  0.7501  0.7501  0.7498  4 Ti 2.79, 4 Pu 2.79

Result of the stability comparison: (1) is the most stable of them.